[1]
TbYTmTl | PBE | relaxed Values from VASP.

The structure in Quantum ESPRESSO input format:
```
&SYSTEM
  ibrav = 0, nat = 4, ntyp = 4
/
ATOMIC_SPECIES
Tb 158.93 Tb.upf
Y 88.91 Y.upf
Tm 168.93 Tm.upf
Tl 204.38 Tl.upf
CELL_PARAMETERS angstrom
4.820 0.000 0.000
0.000 4.846 0.000
0.000 0.000 4.864
ATOMIC_POSITIONS angstrom
Tb 0.000 0.000 0.000
Y 2.410 0.000 2.432
Tm 2.410 2.423 0.000
Tl 0.000 2.423 2.432
```

## Properties
raw total energy = -18.65 eV/cell
N(E_F) = 4.69 states/eV/cell
SG = Pmmm, No. 47
crystal system = orthorhombic
energy relative to the lowest polymorph listed for this composition = 0.000 eV per atom

***

[2]
TbYTm2Tl2 | PBE | relaxed Values from VASP.

The structure in Quantum ESPRESSO input format:
```
&SYSTEM
  ibrav = 0, nat = 12, ntyp = 4
/
ATOMIC_SPECIES
Tb 158.93 Tb.upf
Y 88.91 Y.upf
Tm 168.93 Tm.upf
Tl 204.38 Tl.upf
CELL_PARAMETERS angstrom
5.064 0.000 0.000
0.000 9.948 0.000
0.000 0.000 6.771
ATOMIC_POSITIONS angstrom
Tb 0.000 0.404 0.000
Tb 0.000 9.544 3.386
Y 2.532 1.888 4.875
Y 2.532 8.060 1.489
Tm 0.000 3.127 2.524
Tm 0.000 6.821 5.909
Tm 2.532 4.564 0.614
Tm 2.532 5.384 3.999
Tl 0.000 3.676 5.664
Tl 0.000 6.272 2.278
Tl 2.532 1.361 1.716
Tl 2.532 8.587 5.102
```

## Properties
raw total energy = -52.79 eV/cell
N(E_F) = 11.95 states/eV/cell
SG = Pmc2_1, No. 26
crystal system = orthorhombic

***

[3]
Tb2YTmTl2 | PBE | relaxed Values from VASP.

The structure in Quantum ESPRESSO input format:
```
&SYSTEM
  ibrav = 0, nat = 12, ntyp = 4
/
ATOMIC_SPECIES
Tb 158.93 Tb.upf
Y 88.91 Y.upf
Tm 168.93 Tm.upf
Tl 204.38 Tl.upf
CELL_PARAMETERS angstrom
5.071 0.000 0.000
0.000 9.940 0.000
0.000 0.000 6.873
ATOMIC_POSITIONS angstrom
Tb 0.000 0.452 0.000
Tb 0.000 9.488 3.437
Tb 2.535 1.863 1.949
Tb 2.535 8.077 5.385
Y 2.535 4.521 6.217
Y 2.535 5.418 2.780
Tm 0.000 3.089 4.256
Tm 0.000 6.851 0.820
Tl 0.000 3.697 1.134
Tl 0.000 6.243 4.570
Tl 2.535 1.347 5.115
Tl 2.535 8.593 1.679
```

## Properties
raw total energy = -53.19 eV/cell
N(E_F) = 12.71 states/eV/cell
SG = Pmc2_1, No. 26
crystal system = orthorhombic

***

[4]
TbYTmTl | PBE | relaxed Values from VASP.

The structure in Quantum ESPRESSO input format:
```
&SYSTEM
  ibrav = 0, nat = 4, ntyp = 4
/
ATOMIC_SPECIES
Tb 158.93 Tb.upf
Y 88.91 Y.upf
Tm 168.93 Tm.upf
Tl 204.38 Tl.upf
CELL_PARAMETERS angstrom
0.000 3.860 3.860
3.860 0.000 3.860
3.860 3.860 0.000
ATOMIC_POSITIONS angstrom
Tb 0.000 0.000 0.000
Y 3.860 3.860 3.860
Tm 1.930 1.930 1.930
Tl 5.790 5.790 5.790
```

## Properties
raw total energy = -18.12 eV/cell
N(E_F) = 5.51 states/eV/cell
SG = F-43m, No. 216
crystal system = cubic
energy relative to the lowest polymorph listed for this composition = 0.132 eV per atom

***

[5]
TbY2TmTl2 | PBE | relaxed Values from VASP.

The structure in Quantum ESPRESSO input format:
```
&SYSTEM
  ibrav = 0, nat = 12, ntyp = 4
/
ATOMIC_SPECIES
Tb 158.93 Tb.upf
Y 88.91 Y.upf
Tm 168.93 Tm.upf
Tl 204.38 Tl.upf
CELL_PARAMETERS angstrom
5.065 0.000 0.000
0.000 9.931 0.000
0.000 0.000 6.879
ATOMIC_POSITIONS angstrom
Tb 0.000 0.454 0.000
Tb 0.000 9.477 3.439
Y 0.000 3.097 2.626
Y 0.000 6.833 6.065
Y 2.532 4.504 0.661
Y 2.532 5.427 4.100
Tm 2.532 1.887 4.921
Tm 2.532 8.044 1.482
Tl 0.000 3.641 5.774
Tl 0.000 6.290 2.335
Tl 2.532 1.278 1.790
Tl 2.532 8.652 5.230
```

## Properties
raw total energy = -56.96 eV/cell
N(E_F) = 12.68 states/eV/cell
SG = Pmc2_1, No. 26
crystal system = orthorhombic

***

[6]
TbTmTlZn | PBE | relaxed Values from VASP.

The structure in Quantum ESPRESSO input format:
```
&SYSTEM
  ibrav = 0, nat = 4, ntyp = 4
/
ATOMIC_SPECIES
Tb 158.93 Tb.upf
Tm 168.93 Tm.upf
Tl 204.38 Tl.upf
Zn 65.41 Zn.upf
CELL_PARAMETERS angstrom
0.000 3.681 3.681
3.681 0.000 3.681
3.681 3.681 0.000
ATOMIC_POSITIONS angstrom
Tb 0.000 0.000 0.000
Tm 3.681 3.681 3.681
Tl 5.521 5.521 5.521
Zn 1.840 1.840 1.840
```

## Properties
raw total energy = -14.01 eV/cell
N(E_F) = 4.01 states/eV/cell
SG = F-43m, No. 216
crystal system = cubic
energy relative to the lowest polymorph listed for this composition = 0.028 eV per atom

***

[7]
TbTmTlZn | PBE | relaxed Values from VASP.

The structure in Quantum ESPRESSO input format:
```
&SYSTEM
  ibrav = 0, nat = 4, ntyp = 4
/
ATOMIC_SPECIES
Tb 158.93 Tb.upf
Tm 168.93 Tm.upf
Tl 204.38 Tl.upf
Zn 65.41 Zn.upf
CELL_PARAMETERS angstrom
3.650 0.000 0.000
0.000 3.650 0.000
0.000 0.000 7.392
ATOMIC_POSITIONS angstrom
Tb 0.000 0.000 0.000
Tm 0.000 0.000 4.012
Tl 1.825 1.825 2.052
Zn 1.825 1.825 5.639
```

## Properties
raw total energy = -14.12 eV/cell
N(E_F) = 3.13 states/eV/cell
SG = P4mm, No. 99
crystal system = tetragonal
energy relative to the lowest polymorph listed for this composition = 0.000 eV per atom

***

[8]
TbTlV | PBE | relaxed Values from VASP.

The structure in Quantum ESPRESSO input format:
```
&SYSTEM
  ibrav = 0, nat = 6, ntyp = 3
/
ATOMIC_SPECIES
Tb 158.93 Tb.upf
Tl 204.38 Tl.upf
V 50.94 V.upf
CELL_PARAMETERS angstrom
3.330 0.000 0.000
0.000 3.330 0.000
0.000 0.000 12.730
ATOMIC_POSITIONS angstrom
Tb 0.832 0.832 2.530
Tb 2.497 2.497 10.200
Tl 0.832 0.832 7.615
Tl 2.497 2.497 5.115
V 0.832 0.832 12.231
V 2.497 2.497 0.499
```

## Properties
raw total energy = -31.89 eV/cell
N(E_F) = 3.43 states/eV/cell
SG = P4/nmm, No. 129
crystal system = tetragonal

***

[9]
Tb2TlV | PBE | relaxed Values from VASP.

The structure in Quantum ESPRESSO input format:
```
&SYSTEM
  ibrav = 0, nat = 4, ntyp = 3
/
ATOMIC_SPECIES
Tb 158.93 Tb.upf
Tl 204.38 Tl.upf
V 50.94 V.upf
CELL_PARAMETERS angstrom
1.679 0.969 11.064
-1.679 0.969 11.064
0.000 -1.938 11.064
ATOMIC_POSITIONS angstrom
Tb 0.000 0.000 2.827
Tb 0.000 0.000 30.366
Tl 0.000 0.000 16.596
V 0.000 0.000 0.000
```

## Properties
raw total energy = -18.64 eV/cell
N(E_F) = 5.20 states/eV/cell
SG = R-3m, No. 166
crystal system = trigonal

***

[10]
Tb3Y3Tl2 | PBE | relaxed Values from VASP.

The structure in Quantum ESPRESSO input format:
```
&SYSTEM
  ibrav = 0, nat = 8, ntyp = 3
/
ATOMIC_SPECIES
Tb 158.93 Tb.upf
Y 88.91 Y.upf
Tl 204.38 Tl.upf
CELL_PARAMETERS angstrom
4.866 0.000 0.000
0.000 4.895 0.000
0.000 0.000 9.698
ATOMIC_POSITIONS angstrom
Tb 0.000 0.000 0.000
Tb 2.433 0.000 2.411
Tb 2.433 0.000 7.287
Y 0.000 0.000 4.849
Y 2.433 2.447 0.000
Y 2.433 2.447 4.849
Tl 0.000 2.447 2.433
Tl 0.000 2.447 7.264
```

## Properties
raw total energy = -39.54 eV/cell
N(E_F) = 8.74 states/eV/cell
SG = Pmmm, No. 47
crystal system = orthorhombic
energy relative to the lowest polymorph listed for this composition = 0.000 eV per atom

***

[11]
Tb4Y5Tl4 | PBE | relaxed Values from VASP.

The structure in Quantum ESPRESSO input format:
```
&SYSTEM
  ibrav = 0, nat = 13, ntyp = 3
/
ATOMIC_SPECIES
Tb 158.93 Tb.upf
Y 88.91 Y.upf
Tl 204.38 Tl.upf
CELL_PARAMETERS angstrom
-6.144 6.144 2.551
6.144 -6.144 2.551
6.144 6.144 -2.551
ATOMIC_POSITIONS angstrom
Tb 4.844 1.187 0.000
Tb 4.957 -1.300 2.551
Tb 1.187 7.444 0.000
Tb 1.300 4.957 2.551
Y 0.000 0.000 0.000
Y 7.384 3.845 0.000
Y 3.845 4.904 0.000
Y 2.299 1.240 2.551
Y -1.240 2.299 2.551
Tl 9.412 1.279 0.000
Tl 1.279 2.876 0.000
Tl 4.865 3.268 2.551
Tl -3.268 4.865 2.551
```

## Properties
raw total energy = -63.88 eV/cell
N(E_F) = 10.95 states/eV/cell
SG = I4/m, No. 87
crystal system = tetragonal

***

[12]
Tb7YTl2 | PBE | relaxed Values from VASP.

The structure in Quantum ESPRESSO input format:
```
&SYSTEM
  ibrav = 0, nat = 10, ntyp = 3
/
ATOMIC_SPECIES
Tb 158.93 Tb.upf
Y 88.91 Y.upf
Tl 204.38 Tl.upf
CELL_PARAMETERS angstrom
4.602 -7.851 0.000
4.602 7.851 0.000
0.000 0.000 5.319
ATOMIC_POSITIONS angstrom
Tb 0.000 0.000 0.000
Tb 2.930 1.885 0.000
Tb 4.602 3.539 2.660
Tb 2.930 -1.885 0.000
Tb 6.274 1.885 0.000
Tb 4.602 -3.539 2.660
Tb 6.274 -1.885 0.000
Y 4.602 0.000 2.660
Tl 4.602 4.812 0.000
Tl 4.602 -4.812 0.000
```

## Properties
raw total energy = -40.04 eV/cell
N(E_F) = 19.98 states/eV/cell
SG = Cmmm, No. 65
crystal system = orthorhombic